First-principles (PBE) data for crystalline LaY2Mo at its relaxed geometry, as listed in the Alexandria database.

abc: 6.531 6.531 6.531
angles: 146.86 132.12 59.46
Fractional positions:
La 0.000 0.000 0.000
Y 0.296 0.796 0.500
Y 0.704 0.204 0.500
Mo 0.500 0.500 0.000

Energy relative to the lowest polymorph listed for this composition in meV per atom: 60

***

First-principles (PBE) data for crystalline LaY2Mo at its relaxed geometry, as listed in the Alexandria database.

abc: 10.630 10.630 10.630
angles: 19.22 19.22 19.22
Fractional positions:
La 0.000 0.000 0.000
Y 0.233 0.233 0.233
Y 0.767 0.767 0.767
Mo 0.500 0.500 0.500

Energy relative to the lowest polymorph listed for this composition in meV per atom: 124

***

First-principles (PBE) data for crystalline La3YMo at its relaxed geometry, as listed in the Alexandria database.

abc: 5.586 5.586 5.586
angles: 90.00 90.00 90.00
Fractional positions:
La 0.000 0.000 0.500
La 0.000 0.500 0.000
La 0.500 0.000 0.000
Y 0.500 0.500 0.500
Mo 0.000 0.000 0.000

***

First-principles (PBE) data for crystalline La4YMo at its relaxed geometry, as listed in the Alexandria database.

abc: 6.467 6.467 6.467
angles: 60.00 60.00 60.00
Fractional positions:
La 0.123 0.123 0.123
La 0.123 0.123 0.632
La 0.123 0.632 0.123
La 0.632 0.123 0.123
Y 0.500 0.500 0.500
Mo 0.750 0.750 0.750

***

First-principles (PBE) data for crystalline LaY2Mo at its relaxed geometry, as listed in the Alexandria database.

abc: 3.431 4.958 6.519
angles: 90.00 104.68 90.00
Fractional positions:
La 0.000 0.000 0.000
Y 0.387 0.500 0.720
Y 0.613 0.500 0.280
Mo 0.000 0.000 0.500

Energy relative to the lowest polymorph listed for this composition in meV per atom: 115

***

First-principles (PBE) data for crystalline LaY2Mo at its relaxed geometry, as listed in the Alexandria database.

abc: 5.376 5.376 5.376
angles: 122.36 122.36 85.96
Fractional positions:
La 0.000 0.000 0.000
Y 0.500 0.500 0.000
Y 0.750 0.250 0.500
Mo 0.250 0.750 0.500

Energy relative to the lowest polymorph listed for this composition in meV per atom: 150

***

Number 1: DFT total energy -27.3 eV/f.u., ΔE_f 32.5 kJ/mol of atoms, DOS(E_F) 1.639 states/eV/atom. Number 2: DFT total energy -27.1 eV/f.u., ΔE_f 38.7 kJ/mol of atoms, DOS(E_F) 1.650 states/eV/atom. Number 3: DFT total energy -30.5 eV/f.u., ΔE_f 31.3 kJ/mol of atoms, DOS(E_F) 1.692 states/eV/atom. Number 4: DFT total energy -32.4 eV/f.u., ΔE_f 73.6 kJ/mol of atoms, DOS(E_F) 2.000 states/eV/atom. Number 5: DFT total energy -27.1 eV/f.u., ΔE_f 37.9 kJ/mol of atoms, DOS(E_F) 1.481 states/eV/atom. Number 6: DFT total energy -27.0 eV/f.u., ΔE_f 41.2 kJ/mol of atoms, DOS(E_F) 1.312 states/eV/atom.